{"formula": "Ca2NpCrO6", "functional": "GGA+U", "state": "relaxed", "lattice_angstrom": [[5.729, 0.000, 0.000], [0.000, 5.729, 0.000], [0.000, 0.000, 4.253]], "species": ["Ca", "Ca", "Np", "Cr", "O", "O", "O", "O", "O", "O"], "fractional_positions": [[0.000, 0.500, 0.000], [0.500, 0.000, 0.000], [0.000, 0.000, 0.596], [0.500, 0.500, 0.610], [0.000, 0.000, 0.101], [0.256, 0.256, 0.647], [0.256, 0.744, 0.647], [0.500, 0.500, 0.125], [0.744, 0.256, 0.647], [0.744, 0.744, 0.647]], "dos_at_fermi_per_ev_fu": 3.5, "energy_ev_per_atom": -8.0092}